# 1
A relaxed structure of RbNaCu3, computed with GGA-PBE.

Lattice parameters (Å, degrees): 5.8399 5.8399 5.8399 90.00 90.00 90.00
Last column: nearest neighbours and their distance in Å.
Space group Pm-3m (No. 221)
Symmetry-distinct sites (fractional):
Rb1 0.0000 0.0000 0.0000 x1  6 Cu 2.92
Na1 0.5000 0.5000 0.5000 x1  12 Cu 4.13
Cu1 0.0000 0.0000 0.5000 x3  2 Rb 2.92

## Properties
For the energy above the most stable polymorph in this dataset, the calculation gives 489 meV/atom. The calculation puts the calculated formation energy at 1357.0 meV per atom.

# 2
A relaxed structure of Rb2NaCu2, computed with GGA-PBE.

Lattice parameters (Å, degrees): 5.4490 5.4490 13.6475 90.00 90.00 90.00
Last column: nearest neighbours and their distance in Å.
Space group I4/mmm (No. 139)
Symmetry-distinct sites (fractional):
Rb1 0.0000 0.5000 0.2500 x4  4 Cu 3.51, 4 Rb 3.85
Na1 0.0000 0.0000 0.0000 x2  8 Cu 4.03, 8 Rb 4.37
Cu1 0.0000 0.0000 0.4125 x4  1 Cu 2.39

## Properties
The calculation puts the calculated formation energy at 513.1 meV per atom.

# 3
A relaxed structure of RbNaCu3, computed with GGA-PBE.

Lattice parameters (Å, degrees): 5.2313 5.2313 5.2313 90.00 90.00 90.00
Last column: nearest neighbours and their distance in Å.
Space group Pm-3m (No. 221)
Symmetry-distinct sites (fractional):
Rb1 0.0000 0.0000 0.0000 x1  12 Cu 3.70
Na1 0.5000 0.5000 0.5000 x1  6 Cu 2.62
Cu1 0.0000 0.5000 0.5000 x3  2 Na 2.62

## Properties
For the energy above the most stable polymorph in this dataset, the calculation gives 0 meV/atom. The calculation puts the calculated formation energy at 867.6 meV per atom.

# 4
A relaxed structure of RbNaCu2, computed with GGA-PBE.

Lattice parameters (Å, degrees): 7.7102 7.7102 7.7102 90.00 90.00 90.00
Last column: nearest neighbours and their distance in Å.
Space group Fm-3m (No. 225)
Symmetry-distinct sites (fractional):
Rb1 0.0000 0.0000 0.0000 x4  8 Cu 3.34
Na1 0.0000 0.0000 0.5000 x4  8 Cu 3.34
Cu1 0.2500 0.2500 0.2500 x8  4 Na 3.34, 4 Rb 3.34

## Properties
For the energy above the most stable polymorph in this dataset, the calculation gives 121 meV/atom. The calculation puts the calculated formation energy at 568.2 meV per atom.

# 5
A relaxed structure of Rb2Na2Cu, computed with GGA-PBE.

Lattice parameters (Å, degrees): 8.9405 8.9405 6.7582 90.00 90.00 90.00
Last column: nearest neighbours and their distance in Å.
Space group P4/mbm (No. 127)
Symmetry-distinct sites (fractional):
Rb1 0.1690 0.3310 0.0000 x4  2 Cu 3.32
Na1 0.1483 0.6483 0.5000 x4  1 Na 3.75, 2 Rb 4.09
Cu1 0.0000 0.0000 0.0000 x2  4 Rb 3.32

## Properties
For the energy above the most stable polymorph in this dataset, the calculation gives 119 meV/atom. The calculation puts the calculated formation energy at 383.0 meV per atom.

# 6
A relaxed structure of RbNa2Cu2, computed with GGA-PBE.

Lattice parameters (Å, degrees): 8.4883 8.4883 3.9979 90.00 90.00 90.00
Last column: nearest neighbours and their distance in Å.
Space group P4/mbm (No. 127)
Symmetry-distinct sites (fractional):
Rb1 0.0000 0.0000 0.0000 x2  4 Cu 3.48, 8 Na 3.77
Na1 0.1596 0.3404 0.5000 x4  4 Cu 3.03
Cu1 0.1031 0.6031 0.0000 x4  1 Cu 2.48

## Properties
For the energy above the most stable polymorph in this dataset, the calculation gives 66 meV/atom. The calculation puts the calculated formation energy at 359.2 meV per atom.

# 7
A relaxed structure of RbNaCu, computed with GGA-PBE.

Lattice parameters (Å, degrees): 5.3765 5.3785 8.6095 71.93 71.86 89.98
Last column: nearest neighbours and their distance in Å.
Space group P1 (No. 1)
Symmetry-distinct sites (fractional):
Rb1 0.0000 0.0000 0.0000 x1  2 Cu 3.67-4.10, 4 Na 3.91-3.92
Rb2 0.3678 0.3678 0.2643 x1  1 Cu 3.66, 4 Na 3.91-3.92
Na1 0.1792 0.6846 0.6322 x1  4 Cu 2.95-2.96
Na2 0.6820 0.1860 0.6322 x1  4 Cu 2.95-2.96
Cu1 0.6000 0.6074 0.7913 x1  1 Cu 2.45
Cu2 0.7574 0.7639 0.4746 x1  1 Cu 2.45

## Properties
For the energy above the most stable polymorph in this dataset, the calculation gives 34 meV/atom. The calculation puts the calculated formation energy at 242.3 meV per atom.

# 8
A relaxed structure of Rb2Na2Cu, computed with GGA-PBE.

Lattice parameters (Å, degrees): 8.2204 8.2204 6.5010 90.00 90.00 90.00
Last column: nearest neighbours and their distance in Å.
Space group P4/mbm (No. 127)
Symmetry-distinct sites (fractional):
Rb1 0.1892 0.3108 0.0000 x4  2 Na 3.73
Na1 0.1542 0.6542 0.5000 x4  2 Cu 3.11
Cu1 0.0000 0.0000 0.5000 x2  4 Na 3.11

## Properties
For the energy above the most stable polymorph in this dataset, the calculation gives 1 meV/atom. The calculation puts the calculated formation energy at 264.4 meV per atom.

# 9
A relaxed structure of RbNaCu2Se2, computed with GGA-PBE.

Lattice parameters (Å, degrees): 4.1836 4.1836 9.3734 90.00 90.00 120.00
Last column: nearest neighbours and their distance in Å.
Space group P-3m1 (No. 164)
Symmetry-distinct sites (fractional):
Rb1 0.0000 0.0000 0.0000 x1  6 Se 3.56, 6 Cu 3.60
Na1 0.0000 0.0000 0.5000 x1  6 Cu 3.15, 6 Se 3.18
Cu1 0.3333 0.6667 0.2847 x2  3 Se 2.42
Se1 0.3333 0.6667 0.7209 x2  3 Cu 2.42

# 10
A relaxed structure of RbNaCuSe2, computed with GGA-PBE.

Lattice parameters (Å, degrees): 5.3462 7.7347 6.4177 90.00 90.00 90.00
Last column: nearest neighbours and their distance in Å.
Space group Pmma (No. 51)
Symmetry-distinct sites (fractional):
Rb1 0.2500 0.0000 0.2278 x2  6 Se 3.48-3.58
Na1 0.2500 0.5000 0.4036 x2  2 Cu 2.91, 2 Na 2.95, 2 Se 2.97
Cu1 0.0000 0.5000 0.0000 x2  4 Se 2.51, 2 Cu 2.67
Se1 0.2500 0.2878 0.7902 x4  2 Cu 2.51

# 11
A relaxed structure of RbNa2CuSn, computed with GGA-PBE.

Lattice parameters (Å, degrees): 5.9917 5.9917 5.0361 90.00 90.00 90.00
Last column: nearest neighbours and their distance in Å.
Space group P4/mmm (No. 123)
Symmetry-distinct sites (fractional):
Rb1 0.0000 0.0000 0.0000 x1  8 Na 3.91, 4 Cu 4.24
Na1 0.0000 0.5000 0.5000 x2  2 Sn 3.00
Cu1 0.5000 0.5000 0.0000 x1  2 Sn 2.52
Sn1 0.5000 0.5000 0.5000 x1  2 Cu 2.52

## Properties
For the energy above the most stable polymorph in this dataset, the calculation gives 40 meV/atom. The calculation puts the calculated formation energy at 46.2 meV per atom.

# 12
A relaxed structure of RbNa2CuSn, computed with GGA-PBE.

Lattice parameters (Å, degrees): 5.7470 5.7470 4.9548 90.00 90.00 90.00
Last column: nearest neighbours and their distance in Å.
Space group P4/mmm (No. 123)
Symmetry-distinct sites (fractional):
Rb1 0.0000 0.0000 0.0000 x1  8 Na 3.79, 4 Sn 4.06
Na1 0.0000 0.5000 0.5000 x2  2 Cu 2.87
Cu1 0.5000 0.5000 0.5000 x1  2 Sn 2.48
Sn1 0.5000 0.5000 0.0000 x1  2 Cu 2.48

## Properties
For the energy above the most stable polymorph in this dataset, the calculation gives 0 meV/atom. The calculation puts the calculated formation energy at 6.0 meV per atom.

DOS(E_F) (states/eV/f.u.)
7.46 3.42 1.48 0.78 4.51 2.36 0.93 2.46 0.42 2.14 0.83 2.10
E (eV/atom)
-1.56 -1.78 -2.05 -2.05 -1.35 -2.00 -1.89 -1.47 -3.55 -3.30 -2.29 -2.33